(1)
# InGeIr PBE relaxed
data_InGeIr
_cell_length_a 4.931
_cell_length_b 7.165
_cell_length_c 7.165
_cell_angle_alpha 81.82
_cell_angle_beta 84.70
_cell_angle_gamma 84.70
_symmetry_space_group_name_H-M 'P 1'
_symmetry_Int_Tables_number 1
_symmetry_space_group_name_Hall 'P 1'
loop_
_atom_site_label
_atom_site_fract_x
_atom_site_fract_y
_atom_site_fract_z
In1 0.145 0.680 0.930
In2 0.855 0.820 0.570
In3 0.855 0.320 0.070
In4 0.145 0.180 0.430
Ir1 0.150 0.431 0.681
Ir2 0.150 0.931 0.181
Ir3 0.850 0.569 0.319
Ir4 0.850 0.069 0.819
Ge1 0.656 0.390 0.640
Ge2 0.656 0.890 0.140
Ge3 0.344 0.610 0.360
Ge4 0.344 0.110 0.860
# magnetic moment	0.00	μB per formula unit
# DOS at the Fermi energy	1.153	states/eV/cell

(2)
# InGeIr3 PBE relaxed
data_InGeIr3
_cell_length_a 4.574
_cell_length_b 4.574
_cell_length_c 4.574
_cell_angle_alpha 90.00
_cell_angle_beta 90.00
_cell_angle_gamma 90.00
_symmetry_space_group_name_H-M 'P 1'
_symmetry_Int_Tables_number 1
_symmetry_space_group_name_Hall 'P 1'
loop_
_atom_site_label
_atom_site_fract_x
_atom_site_fract_y
_atom_site_fract_z
Ge1 0.000 0.000 0.000
Ir1 0.000 0.500 0.000
Ir2 0.000 0.000 0.500
Ir3 0.500 0.000 0.000
In1 0.500 0.500 0.500
# offset from the most stable computed form	0.000	eV per atom
# magnetic moment	0.00	μB per formula unit
# DOS at the Fermi energy	0.673	states/eV/cell

(3)
# InGeIr PBE relaxed
data_InGeIr
_cell_length_a 3.912
_cell_length_b 4.176
_cell_length_c 4.176
_cell_angle_alpha 120.00
_cell_angle_beta 90.00
_cell_angle_gamma 90.00
_symmetry_space_group_name_H-M 'P 1'
_symmetry_Int_Tables_number 1
_symmetry_space_group_name_Hall 'P 1'
loop_
_atom_site_label
_atom_site_fract_x
_atom_site_fract_y
_atom_site_fract_z
Ge1 0.182 0.000 0.000
Ir1 0.139 0.667 0.333
In1 0.679 0.333 0.667
# magnetic moment	0.00	μB per formula unit
# DOS at the Fermi energy	1.411	states/eV/cell

Computed values of ΔE_f (unit: eV per formula unit) for the preceding records, in sequence: -0.426 4.026 0.207.